(1)
## Sn7S2I6 (PBE)

Data for a geometry-optimized Sn7S2I6 structure.

Calculated values
The theoretical density is 5.01 g/cm3. The calculation puts the uncorrected formation energy at -0.333 eV per atom. As for the space-group type: C2/m, No. 12.

Lattice parameters (Å, degrees): 7.5401 7.5401 18.1303 71.00 71.00 34.55
Fractional coordinates of all 15 atoms:
S1 0.8063 0.8063 0.4231
S2 0.1937 0.1937 0.5769
I1 0.4494 0.4494 0.2507
I2 0.5506 0.5506 0.7493
I3 0.7323 0.7323 0.8913
I4 0.1156 0.1156 0.3749
I5 0.2677 0.2677 0.1087
I6 0.8844 0.8844 0.6251
Sn1 0.4058 0.4058 0.9388
Sn2 0.2148 0.2148 0.7166
Sn3 0.3770 0.3770 0.4773
Sn4 0.6230 0.6230 0.5227
Sn5 0.5942 0.5942 0.0612
Sn6 0.7852 0.7852 0.2834
Sn7 0.0000 0.0000 0.0000

(2)
## SnS6I2 (PBE)

Data for a geometry-optimized SnS6I2 structure.

Calculated values
The theoretical density is 3.07 g/cm3. The calculation puts the uncorrected formation energy at -0.090 eV per atom. As for the space-group type: P-1, No. 2.

Lattice parameters (Å, degrees): 4.5805 8.4553 8.4749 111.60 90.67 90.60
Fractional coordinates of all 9 atoms:
S1 0.8576 0.6847 0.6846
S2 0.9219 0.5154 0.2799
S3 0.0781 0.4846 0.7201
S4 0.1424 0.3153 0.3154
S5 0.0773 0.7208 0.4851
S6 0.9227 0.2792 0.5149
I1 0.5003 0.8427 0.1556
I2 0.4997 0.1573 0.8444
Sn1 0.0000 0.0000 0.0000

(3)
## SnSI (PBE)

Data for a geometry-optimized SnSI structure.

Calculated values
The theoretical density is 3.41 g/cm3. The calculation puts the uncorrected formation energy at -0.290 eV per atom. As for the space-group type: C2, No. 5.

Lattice parameters (Å, degrees): 8.6462 5.7907 5.7935 110.18 95.92 84.12
Fractional coordinates of all 6 atoms:
Sn1 0.5754 0.1660 0.6656
Sn2 0.6975 0.8662 0.9656
I1 0.2855 0.0433 0.4550
I2 0.9872 0.6556 0.8432
S1 0.5136 0.5764 0.9669
S2 0.7588 0.1683 0.3757

(4)
## Sn3S3I (PBE)

Data for a geometry-optimized Sn3S3I structure.

Calculated values
The theoretical density is 4.01 g/cm3. The calculation puts the uncorrected formation energy at -0.332 eV per atom. As for the space-group type: P6_3/m, No. 176.

Lattice parameters (Å, degrees): 5.5884 9.9538 9.9538 120.00 90.00 90.00
Fractional coordinates of all 14 atoms:
Sn1 0.2500 0.3054 0.0627
Sn2 0.7500 0.0627 0.7573
Sn3 0.7500 0.2427 0.3054
Sn4 0.2500 0.7573 0.6946
Sn5 0.2500 0.9373 0.2427
Sn6 0.7500 0.6946 0.9373
I1 0.7500 0.3333 0.6667
I2 0.2500 0.6667 0.3333
S1 0.7500 0.9531 0.2320
S2 0.7500 0.2790 0.0469
S3 0.2500 0.7210 0.9531
S4 0.2500 0.2320 0.2790
S5 0.7500 0.7680 0.7210
S6 0.2500 0.0469 0.7680

(5)
## SnTe2SI (PBE)

Data for a geometry-optimized SnTe2SI structure.

Calculated values
The theoretical density is 4.45 g/cm3. The calculation puts the uncorrected formation energy at 0.749 eV per atom. As for the space-group type: P4/mmm, No. 123.

Lattice parameters (Å, degrees): 5.7688 5.7688 5.9762 90.00 90.00 90.00
Fractional coordinates of all 5 atoms:
S1 0.5000 0.5000 0.5000
Sn1 0.0000 0.0000 0.0000
I1 0.0000 0.0000 0.5000
Te1 0.5000 0.0000 0.0000
Te2 0.0000 0.5000 0.0000

(6)
## SnTe2SI (PBE)

Data for a geometry-optimized SnTe2SI structure.

Calculated values
The theoretical density is 5.63 g/cm3. The calculation puts the uncorrected formation energy at 0.283 eV per atom. As for the space-group type: P4/mmm, No. 123.

Lattice parameters (Å, degrees): 5.3008 5.3008 5.5894 90.00 90.00 90.00
Fractional coordinates of all 5 atoms:
Sn1 0.5000 0.5000 0.5000
S1 0.0000 0.0000 0.0000
Te1 0.0000 0.5000 0.0000
Te2 0.5000 0.0000 0.0000
I1 0.0000 0.0000 0.5000